An optimized crystal structure of PtRhO3. Source: Alexandria via LeMat-Bulk, functional PBE.

Its formation energy from raw total energies is -0.265 eV/atom. As for the volume: 11.84 Å³ per atom. The calculation puts the density of states at the Fermi level at 4.009 states/eV/f.u. As for the magnetization: 0.00 μB/f.u.

a = 5.7350 Å, b = 5.7350 Å, c = 9.5514 Å
α = 110.37°, β = 110.37°, γ = 55.00°
Last column: nearest neighbours and their distance in Å.
Fractional coordinates of all 20 atoms:
Pt: 0.0257 0.7795 0.8388  4 O 2.00-2.08
Pt: 0.2205 0.9743 0.6612  4 O 2.00-2.08
Pt: 0.7795 0.0257 0.3388  4 O 2.00-2.08
Pt: 0.9743 0.2205 0.1612  4 O 2.00-2.08
Rh: 0.0000 0.5000 0.5000  6 O 2.01-2.17
Rh: 0.3040 0.6960 0.2500  2 O 1.96
Rh: 0.5000 0.0000 0.0000  6 O 2.01-2.17
Rh: 0.6960 0.3040 0.7500  2 O 1.96
O: 0.1390 0.2523 0.8589  1 Pt 2.00, 1 Rh 2.04
O: 0.1603 0.7193 0.4508  2 Pt 2.07-2.08, 2 Rh 2.17-2.27
O: 0.2523 0.1390 0.3589  1 Pt 2.00, 1 Rh 2.04
O: 0.2807 0.8397 0.0492  2 Pt 2.07-2.08, 2 Rh 2.17-2.27
O: 0.2836 0.4264 0.6985  2 Rh 1.96-2.01, 1 Pt 2.03
O: 0.4264 0.2836 0.1985  2 Rh 1.96-2.01, 1 Pt 2.03
O: 0.5736 0.7164 0.8015  2 Rh 1.96-2.01, 1 Pt 2.03
O: 0.7164 0.5736 0.3015  2 Rh 1.96-2.01, 1 Pt 2.03
O: 0.7193 0.1603 0.9508  2 Pt 2.07-2.08, 2 Rh 2.17-2.27
O: 0.7477 0.8610 0.6411  1 Pt 2.00, 1 Rh 2.04
O: 0.8397 0.2807 0.5492  2 Pt 2.07-2.08, 2 Rh 2.17-2.27
O: 0.8610 0.7477 0.1411  1 Pt 2.00, 1 Rh 2.04